A relaxed structure of Tl3CrRh3O8, computed with PBE with a Hubbard U.

Geometry as extended XYZ:
```
15
Lattice="6.2802 0.0000 0.0000 -3.1401 5.4393 -0.0175 0.0000 -3.6003 6.4361" Properties=species:S:1:pos:R:3 pbc="T T T"
Tl 1.5700 2.7197 -0.0088
O 1.5515 -0.9073 2.2132
Rh -1.5700 0.9195 3.2093
O 0.0000 -0.0052 4.2141
O 3.1401 1.8442 2.2045
Tl 0.0000 0.0000 0.0000
O 4.7286 -0.9073 2.2132
Tl -1.5700 2.7197 -0.0088
O 1.5885 2.7463 4.2054
O 3.1401 0.0163 4.1838
O -1.5885 2.7463 4.2054
O 0.0000 1.8227 2.2347
Rh 3.1401 -1.8001 3.2180
Cr 0.0000 -1.8001 3.2180
Rh 1.5700 0.9195 3.2093
```

**Raw total energy**: -0.218 Ha/atom